11
Lattice="-1.6174 2.5645 2.5746 -7.7402 -3.3395 -1.5362 4.8844 -3.2101 6.2659" Properties=species:S:1:pos:R:3 comment="Ce4S6Br (PBE-GGA, optimized geometry)" e_above_lowest_polymorph_mev_per_atom=0.0 crystal_system=hexagonal formation_energy_uncorrected_ev_per_atom=-1.853 energy_ev_per_cell=-70.56 rho_g_cm3=5.5 pbc="T T T"
Ce -4.0276 -3.5209 4.0494
Ce -2.7049 -0.4874 1.8588
Ce -6.2898 -2.0341 1.1473
Ce 0.6762 -3.2532 3.6652
S -3.7877 -2.0665 -0.3212
S -1.5996 -3.3402 5.3947
S -1.9411 -3.2801 2.0477
S -4.8674 -4.5426 1.4669
S 1.6153 -1.9531 6.0327
S -0.4134 -0.6198 3.4302
Br 0.0000 0.0000 0.0000


5
Lattice="-2.6893 1.7708 -3.9114 2.1573 -4.5758 -0.2738 -4.7514 -2.3713 2.1933" Properties=species:S:1:pos:R:3 comment="Ce2S2Br (PBE-GGA, optimized geometry)" e_above_lowest_polymorph_mev_per_atom=0.0 crystal_system=trigonal formation_energy_uncorrected_ev_per_atom=-1.828 energy_ev_per_cell=-30.94 rho_g_cm3=5.5 pbc="T T T"
Ce -4.7324 -2.1707 -1.0100
Ce -0.5511 -3.0057 -0.9819
S -2.4099 -1.0115 -2.0821
S -2.8736 -4.1648 0.0903
Br 0.0000 0.0000 0.0000


20
Lattice="7.4514 0.0000 1.0109 3.7257 7.1569 0.5055 0.0361 0.0000 14.6103" Properties=species:S:1:pos:R:3 comment="CeSBr3 (PBE-GGA, optimized geometry)" e_above_lowest_polymorph_mev_per_atom=5.6 crystal_system=monoclinic formation_energy_uncorrected_ev_per_atom=-1.412 energy_ev_per_cell=-88.56 rho_g_cm3=3.5 pbc="T T T"
Ce 10.4984 6.3003 3.4379
Ce 4.4225 6.3003 5.8892
Ce 0.7148 0.8566 12.6889
Ce 6.7908 0.8566 10.2376
S 4.6667 4.4606 3.7486
S 2.8028 4.4606 4.5675
S 6.5466 2.6963 12.3781
S 8.4104 2.6963 11.5593
Br 6.4004 1.5350 1.3247
Br 1.0691 1.5350 6.9914
Br 4.8129 5.6220 14.8020
Br 10.1441 5.6220 9.1353
Br 8.3613 5.0988 2.3596
Br 6.5596 5.0988 6.9675
Br 2.8519 2.0581 13.7672
Br 4.6537 2.0581 9.1593
Br 5.7574 0.6105 5.1871
Br 1.7121 0.6105 3.1290
Br 5.4558 6.5464 10.9397
Br 9.5012 6.5464 12.9977


11
Lattice="6.5749 -0.0611 3.6312 -1.9471 6.2802 3.6314 0.2245 0.3016 7.3652" Properties=species:S:1:pos:R:3 comment="Ce4S6Br (PBE-GGA, optimized geometry)" e_above_lowest_polymorph_mev_per_atom=11.5 crystal_system=tetragonal formation_energy_uncorrected_ev_per_atom=-1.842 energy_ev_per_cell=-70.43 rho_g_cm3=4.8 pbc="T T T"
Ce 3.7706 1.1334 4.3952
Ce 3.9892 5.3608 11.8372
Ce 0.0027 3.9370 4.3954
Ce 1.9425 2.6104 8.6274
S 1.9523 5.2635 9.7837
S 4.4810 3.3818 9.7836
S 2.3229 3.1215 5.9213
S 5.6013 3.0788 5.4467
S 0.9492 1.2754 3.7673
S 1.3402 6.2495 5.4468
Br 4.8522 6.5205 14.6274


4
Lattice="-2.2673 -2.8016 1.5919 1.5591 -3.4907 0.9531 1.4005 0.5349 7.8119" Properties=species:S:1:pos:R:3 comment="Ce2SBr (PBE-GGA, optimized geometry)" e_above_lowest_polymorph_mev_per_atom=27.7 crystal_system=trigonal formation_energy_uncorrected_ev_per_atom=-1.560 energy_ev_per_cell=-23.91 rho_g_cm3=6.4 pbc="T T T"
Ce 1.0559 -0.0194 6.3455
Ce 0.1042 -1.5502 2.2960
S 0.9248 -3.6656 9.4936
Br 0.3541 -2.8659 5.2122


10
Lattice="3.9432 0.0000 -0.8623 -0.3435 8.3483 -1.5708 -0.0356 -0.3001 9.2841" Properties=species:S:1:pos:R:3 comment="Ce4SBr5 (PBE-GGA, optimized geometry)" crystal_system=monoclinic formation_energy_uncorrected_ev_per_atom=-1.648 energy_ev_per_cell=-52.71 rho_g_cm3=5.4 pbc="T T T"
Ce 1.0179 7.5140 4.6550
Ce -0.2632 6.5177 -1.2037
Ce 2.5461 0.5342 2.1961
Ce 3.8273 1.5305 8.0547
S 1.9716 0.0000 -0.4311
Br 3.0360 5.3106 4.4361
Br 3.1817 1.3432 5.1024
Br 0.3824 6.7049 1.7486
Br 1.7999 4.1741 -1.2165
Br 0.5281 2.7376 2.4149


4
Lattice="-1.8537 -1.9691 -2.8092 5.0121 0.5136 -0.9610 -0.9975 -6.0622 4.9075" Properties=species:S:1:pos:R:3 comment="CeSBr2 (PBE-GGA, optimized geometry)" crystal_system=monoclinic formation_energy_uncorrected_ev_per_atom=-1.530 energy_ev_per_cell=-19.53 rho_g_cm3=4.0 pbc="T T T"
Ce 0.6466 -3.4824 -0.6920
S 3.2048 -2.6862 -0.2319
Br 0.5734 -0.6440 0.0730
Br 1.3225 -4.2073 2.0764


15
Lattice="-2.6170 -3.1072 -6.9241 -5.1563 -6.1527 0.0561 -7.8870 1.3517 -2.2795" Properties=species:S:1:pos:R:3 comment="Ce6S8Br (PBE-GGA, optimized geometry)" crystal_system=trigonal formation_energy_uncorrected_ev_per_atom=-1.893 energy_ev_per_cell=-98.69 rho_g_cm3=5.1 pbc="T T T"
Ce -7.5239 -0.8132 -4.7559
Ce -5.7331 -4.2215 -6.9238
Ce -5.5227 -3.9805 -2.4135
Ce -10.1377 -3.9277 -6.7340
Ce -9.9273 -3.6867 -2.2237
Ce -8.1365 -7.0950 -4.3916
S -5.2722 -2.5540 -4.7433
S -7.8675 -2.3407 -7.0085
S -7.6754 -2.1219 -2.3040
S -13.0540 -4.8344 -6.8582
S -2.6064 -3.0739 -2.2893
S -7.9850 -5.7863 -6.8435
S -7.7928 -5.5675 -2.1389
S -10.3882 -5.3542 -4.4041
Br 0.0000 0.0000 0.0000